Dy2Ho2CI5 | GGA-PBE | optimized geometry

a b c (Å): 9.761 9.761 8.572
angles (deg): 102.25 102.25 23.37
Sites, in units of the cell vectors:
I: 0.167 0.167 0.822
Dy: 0.999 0.999 0.189
C: 0.500 0.500 0.000
I: 0.500 0.500 0.500
I: 0.837 0.837 0.661
I: 0.833 0.833 0.178
Ho: 0.628 0.628 0.063
Ho: 0.372 0.372 0.937
I: 0.163 0.163 0.339
Dy: 0.001 0.001 0.811

Summary:
- SG = C2/m (12)

Dy2Ho2CI5 | GGA-PBE | optimized geometry

a b c (Å): 9.764 9.764 8.570
angles (deg): 102.24 102.24 23.36
Sites, in units of the cell vectors:
C: 0.500 0.500 0.000
Ho: 0.999 0.999 0.189
Ho: 0.001 0.001 0.811
I: 0.833 0.833 0.178
Dy: 0.628 0.628 0.063
I: 0.838 0.838 0.661
Dy: 0.372 0.372 0.937
I: 0.500 0.500 0.500
I: 0.162 0.162 0.339
I: 0.167 0.167 0.822

Summary:
- SG = C2/m (12)

DyHoC2I2 | GGA-PBE | optimized geometry

a b c (Å): 4.135 4.135 11.221
angles (deg): 93.00 93.00 56.11
Sites, in units of the cell vectors:
Ho: 0.854 0.854 0.378
Dy: 0.145 0.145 0.622
C: 0.422 0.422 0.527
I: 0.824 0.824 0.809
I: 0.176 0.176 0.191
C: 0.578 0.578 0.472

Summary:
- SG = Cm (8)

DyHo3In2C2 | GGA-PBE | optimized geometry

a b c (Å): 3.584 3.584 16.317
angles (deg): 90.00 90.00 120.00
Last column: magnetic moment on the atom in μB.
Sites, in units of the cell vectors:
Dy: 0.000 0.000 0.083  0.06
Ho: 0.333 0.667 0.583  0.02
Ho: 0.000 0.000 0.418  0.05
C: 0.667 0.333 0.500  0.00
Ho: 0.333 0.667 0.917  0.03
In: 0.000 0.000 0.750  0.01
C: 0.667 0.333 0.000  -0.01
In: 0.333 0.667 0.251  0.03

Summary:
- SG = P3m1 (156)

DyHoIr2C2N2 | GGA-PBE | optimized geometry

a b c (Å): 3.723 3.723 7.288
angles (deg): 90.00 90.00 90.00
Sites, in units of the cell vectors:
Ir: 0.500 0.000 0.499
Ir: 0.000 0.500 0.499
Dy: 0.000 0.000 0.833
C: 0.500 0.500 0.661
C: 0.000 0.000 0.340
Ho: 0.500 0.500 0.167
N: 0.500 0.500 0.852
N: 0.000 0.000 0.149

Summary:
- SG = P4mm (99)

KDyHoC | GGA-PBE | optimized geometry

a b c (Å): 3.615 3.615 20.629
angles (deg): 90.00 90.00 120.00
Sites, in units of the cell vectors:
K: 0.333 0.667 0.749
Ho: 0.667 0.333 0.564
C: 0.000 0.000 0.500
Dy: 0.333 0.667 0.065
K: 0.667 0.333 0.251
Ho: 0.333 0.667 0.436
Dy: 0.667 0.333 0.935
C: 0.000 0.000 0.000

Summary:
- SG = P-3m1 (164)

no.,DFT total energy (eV per atom)
1,-4.625
2,-4.623
3,-5.973
4,-5.680
5,-8.256
6,-4.931